# 1
Computed, not measured: crystalline Rb2AcSbO6 at its relaxed geometry at the PBE level of DFT.

The value obtained for the magnetization is 2.02 μB per formula unit. As for the density of states at the Fermi level: 15.593 states/eV per cell. For the formation energy (no corrections), the calculation gives -1.77 eV per atom.

The structure belongs to space group Fm-3m (No. 225); the cell edges are 8.972, 8.972 and 8.972 Å and the angles 90.00°, 90.00° and 90.00°. The asymmetric unit holds Rb at (0.250, 0.250, 0.250), Ac at (0.000, 0.000, 0.000), Sb at (0.000, 0.000, 0.500) and O at (0.000, 0.000, 0.276).


# 2
Computed, not measured: crystalline MoIrAu2 at its relaxed geometry at the PBE level of DFT.

The value obtained for the magnetization is 0.38 μB per formula unit. As for the density of states at the Fermi level: 15.840 states/eV per cell. The distance to the lowest polymorph of the same formula is 342 meV/atom. The energy of formation from the pure elements is 353 meV/atom.

The structure belongs to space group R-3m (No. 166, hexagonal axes); the cell edges are 2.8414, 2.8414 and 28.1737 Å and the angles 90.00°, 90.00° and 120.00°. The asymmetric unit holds Mo at (0.0000, 0.0000, 0.0000), Ir at (0.0000, 0.0000, 0.5000) and Au at (0.0000, 0.0000, 0.2508).